# 1
Computed, not measured: a relaxed SiHgH2 crystal at the PBE-GGA level of DFT.

```
SiHgH2
1.0
0.000 2.878 2.878
2.878 0.000 2.878
2.878 2.878 0.000
Si Hg H
1 1 2
Direct
0.000 0.000 0.000
0.500 0.500 0.500
0.250 0.250 0.250
0.750 0.750 0.750
```

V (Å³ per cell): 48
Space group: Fm-3m, No. 225
Energy above the lowest structure with this stoichiometry (meV/atom): 482



# 2
Computed, not measured: a relaxed In2BrCl crystal at the PBE-GGA level of DFT.

```
In2BrCl
1.0
6.223 -2.265 0.000
6.223 2.265 0.000
-0.055 0.000 4.597
In Br Cl
2 1 1
Direct
0.000 0.000 0.000
0.223 0.223 0.518
0.756 0.756 0.025
0.453 0.453 0.536
```

V (Å³ per cell): 130
Space group: Cm, No. 8
Formation energy (no corrections) (kJ per mole of atoms): -70.77
Energy above the lowest structure with this stoichiometry (meV/atom): 0



# 3
Computed, not measured: a relaxed Te2OsRh crystal at the PBE-GGA level of DFT.

```
Te2OsRh
1.0
3.125 0.000 0.000
0.000 4.505 0.000
-0.024 0.000 5.537
Te Os Rh
2 1 1
Direct
0.204 0.000 0.245
0.796 0.000 0.755
0.000 0.500 0.500
0.500 0.500 0.000
```

V (Å³ per cell): 78
Space group: P2/m, No. 10
Formation energy (no corrections) (kJ per mole of atoms): 79.52
Energy above the lowest structure with this stoichiometry (meV/atom): 848



# 4
Computed, not measured: a relaxed LiZn2Au crystal at the PBE-GGA level of DFT.

```
LiZn2Au
1.0
4.580 -1.434 0.000
4.580 1.434 0.000
-0.825 0.000 4.655
Li Zn Au
1 2 1
Direct
0.000 0.000 0.000
0.247 0.247 0.754
0.753 0.753 0.246
0.500 0.500 0.500
```

V (Å³ per cell): 61
Space group: C2/m, No. 12
Formation energy from the elements (eV/f.u.): -1.16
Energy above the lowest structure with this stoichiometry (meV/atom): 72



# 5
Computed, not measured: a relaxed CePmZn2 crystal at the PBE-GGA level of DFT.

```
CePmZn2
1.0
0.000 3.646 3.646
3.646 0.000 3.646
3.646 3.646 0.000
Ce Pm Zn
1 1 2
Direct
0.000 0.000 0.000
0.500 0.500 0.500
0.250 0.250 0.250
0.750 0.750 0.750
```

V (Å³ per cell): 97
Space group: Fm-3m, No. 225
Formation energy from the elements (eV/f.u.): -0.93
Energy above the lowest structure with this stoichiometry (meV/atom): 8



# 6
Computed, not measured: a relaxed InSbS4 crystal at the PBE-GGA level of DFT.

```
InSbS4
1.0
6.456 0.000 0.000
0.000 3.697 0.000
-0.014 0.000 6.601
In Sb S
1 1 4
Direct
0.000 0.000 0.000
0.500 0.500 0.000
0.182 0.500 0.780
0.346 0.000 0.228
0.654 0.000 0.772
0.818 0.500 0.220
```

V (Å³ per cell): 158
Space group: P2/m, No. 10
Formation energy (no corrections) (kJ per mole of atoms): -23.91
Energy above the lowest structure with this stoichiometry (meV/atom): 0



# 7
Computed, not measured: a relaxed K2VGaS4 crystal at the PBE-GGA level of DFT.

```
K2VGaS4
1.0
0.000 6.431 11.204
3.200 0.000 11.204
3.200 6.431 0.000
K V Ga S
4 2 2 8
Direct
0.055 0.055 0.695
0.305 0.305 0.945
0.695 0.695 0.055
0.945 0.945 0.305
0.375 0.375 0.375
0.625 0.625 0.625
0.125 0.125 0.125
0.875 0.875 0.875
0.000 0.353 0.433
0.000 0.647 0.567
0.286 0.567 0.647
0.353 0.000 0.714
0.433 0.714 0.000
0.567 0.286 0.000
0.647 0.000 0.286
0.714 0.433 0.353
```

V (Å³ per cell): 461
Space group: Fddd, No. 70
Formation energy (no corrections) (kJ per mole of atoms): -89.59



# 8
Computed, not measured: a relaxed NaGaCuNi crystal at the PBE-GGA level of DFT.

```
NaGaCuNi
1.0
2.817 0.000 0.000
0.000 2.817 0.000
0.000 0.000 7.816
Na Ga Cu Ni
1 1 1 1
Direct
0.000 0.000 0.000
0.500 0.500 0.318
0.500 0.500 0.707
0.000 0.000 0.516
```

V (Å³ per cell): 62
Space group: P4mm, No. 99
Formation energy from the elements (eV/f.u.): 0.07
Energy above the lowest structure with this stoichiometry (meV/atom): 57



# 9
Computed, not measured: a relaxed KAc2TbTe4 crystal at the PBE-GGA level of DFT.

```
KAc2TbTe4
1.0
8.033 0.000 0.000
0.000 4.638 0.000
-2.660 0.000 7.749
K Ac Tb Te
1 2 1 4
Direct
0.000 0.000 0.000
0.500 0.000 0.500
0.500 0.500 0.000
0.000 0.500 0.500
0.233 0.000 0.734
0.244 0.500 0.261
0.756 0.500 0.739
0.767 0.000 0.266
```

V (Å³ per cell): 289
Space group: P2/m, No. 10
Formation energy (no corrections) (kJ per mole of atoms): -134.64



# 10
Computed, not measured: a relaxed PaInPd crystal at the PBE-GGA level of DFT.

```
PaInPd
1.0
0.000 3.331 3.331
3.331 0.000 3.331
3.331 3.331 0.000
Pa In Pd
1 1 1
Direct
0.000 0.000 0.000
0.500 0.500 0.500
0.750 0.750 0.750
```

V (Å³ per cell): 74
Space group: F-43m, No. 216
Formation energy from the elements (eV/f.u.): -1.00



# 11
Computed, not measured: a relaxed MgNiGe2 crystal at the PBE-GGA level of DFT.

```
MgNiGe2
1.0
2.959 0.000 0.000
0.000 2.959 0.000
0.000 0.000 7.300
Mg Ni Ge
1 1 2
Direct
0.000 0.000 0.000
0.000 0.000 0.500
0.500 0.500 0.293
0.500 0.500 0.707
```

V (Å³ per cell): 64
Space group: P4/mmm, No. 123
Formation energy from the elements (eV/f.u.): -0.37



# 12
Computed, not measured: a relaxed Ac2Zn3Cd2 crystal at the PBE-GGA level of DFT.

```
Ac2Zn3Cd2
1.0
5.758 -2.408 0.000
5.758 2.408 0.000
-2.833 0.000 6.450
Ac Zn Cd
2 3 2
Direct
0.148 0.148 0.271
0.852 0.852 0.729
0.422 0.422 0.094
0.500 0.500 0.500
0.578 0.578 0.906
0.158 0.158 0.779
0.842 0.842 0.221
```

V (Å³ per cell): 179
Space group: C2/m, No. 12
Formation energy from the elements (eV/f.u.): -1.85



# 13
Computed, not measured: a relaxed VIrW2N crystal at the PBE-GGA level of DFT.

```
VIrW2N
1.0
4.092 0.000 0.000
0.000 4.092 0.000
0.000 0.000 3.961
V Ir W N
1 1 2 1
Direct
0.000 0.000 0.000
0.500 0.500 0.000
0.000 0.500 0.500
0.500 0.000 0.500
0.000 0.000 0.500
```

V (Å³ per cell): 66
Space group: P4/mmm, No. 123
Formation energy (no corrections) (kJ per mole of atoms): -28.69



# 14
Computed, not measured: a relaxed Nd4Bi3O2 crystal at the PBE-GGA level of DFT.

```
Nd4Bi3O2
1.0
7.229 -5.156 0.000
7.229 5.156 0.000
-0.675 0.000 6.681
Nd Bi O
8 6 4
Direct
0.083 0.669 0.988
0.231 0.382 0.415
0.331 0.917 0.512
0.382 0.231 0.915
0.618 0.769 0.085
0.669 0.083 0.488
0.769 0.618 0.585
0.917 0.331 0.012
0.031 0.766 0.484
0.234 0.969 0.016
0.479 0.521 0.750
0.521 0.479 0.250
0.766 0.031 0.984
0.969 0.234 0.516
0.153 0.402 0.077
0.402 0.153 0.577
0.598 0.847 0.423
0.847 0.598 0.923
```

V (Å³ per cell): 498
Space group: C2/c, No. 15
Formation energy (no corrections) (kJ per mole of atoms): -167.10



# 15
Computed, not measured: a relaxed Be2CuPt2 crystal at the PBE-GGA level of DFT.

```
Be2CuPt2
1.0
-1.541 1.541 6.537
1.541 -1.541 6.537
1.541 1.541 -6.537
Be Cu Pt
2 1 2
Direct
0.250 0.750 0.500
0.750 0.250 0.500
0.000 0.000 0.000
0.381 0.381 0.000
0.619 0.619 0.000
```

V (Å³ per cell): 62
Space group: I4/mmm, No. 139
Formation energy from the elements (eV/f.u.): -1.66
Energy above the lowest structure with this stoichiometry (meV/atom): 226



# 16
Computed, not measured: a relaxed LiRu2 crystal at the PBE-GGA level of DFT.

```
LiRu2
1.0
-1.452 1.452 4.559
1.452 -1.452 4.559
1.452 1.452 -4.559
Li Ru
1 2
Direct
0.000 0.000 0.000
0.334 0.334 0.000
0.666 0.666 0.000
```

V (Å³ per cell): 38
Space group: I4/mmm, No. 139
Formation energy from the elements (eV/f.u.): 0.48



# 17
Computed, not measured: a relaxed Ta3AgH crystal at the PBE-GGA level of DFT.

```
Ta3AgH
1.0
4.192 0.000 0.000
0.000 4.192 0.000
0.000 0.000 4.192
Ta Ag H
3 1 1
Direct
0.000 0.000 0.500
0.000 0.500 0.000
0.500 0.000 0.000
0.500 0.500 0.500
0.000 0.000 0.000
```

V (Å³ per cell): 74
Space group: Pm-3m, No. 221
Energy above the lowest structure with this stoichiometry (meV/atom): 0



# 18
Computed, not measured: a relaxed Pr4Sm2Tm7 crystal at the PBE-GGA level of DFT.

```
Pr4Sm2Tm7
1.0
6.166 0.000 0.000
-2.077 7.742 0.000
-3.069 -1.654 8.816
Pr Sm Tm
4 2 7
Direct
0.039 0.077 0.196
0.271 0.542 0.349
0.729 0.458 0.651
0.961 0.923 0.804
0.193 0.385 0.960
0.807 0.615 0.040
0.115 0.229 0.577
0.348 0.695 0.732
0.423 0.848 0.115
0.500 0.000 0.500
0.577 0.152 0.885
0.652 0.305 0.268
0.885 0.771 0.423
```

V (Å³ per cell): 421
Space group: P-1, No. 2
Formation energy from the elements (eV/f.u.): 0.31



# 19
Computed, not measured: a relaxed NaAc2H6Ru crystal at the PBE-GGA level of DFT.

```
NaAc2H6Ru
1.0
4.997 0.000 0.000
-2.498 4.327 0.000
0.000 0.000 7.589
Na Ac H Ru
1 2 6 1
Direct
0.000 0.000 0.000
0.333 0.667 0.298
0.667 0.333 0.702
0.166 0.332 0.628
0.166 0.834 0.628
0.332 0.166 0.372
0.668 0.834 0.628
0.834 0.166 0.372
0.834 0.668 0.372
0.000 0.000 0.500
```

V (Å³ per cell): 164
Space group: P-3m1, No. 164
DFT total energy (eV for the cell shown): -42.76



# 20
Computed, not measured: a relaxed NaTaIr2O8 crystal at the PBE-GGA level of DFT.

```
NaTaIr2O8
1.0
5.590 0.000 0.000
-2.795 4.841 0.000
0.000 0.000 6.978
Na Ta Ir O
1 1 2 8
Direct
0.000 0.000 0.000
0.000 0.000 0.500
0.333 0.667 0.788
0.667 0.333 0.212
0.099 0.318 0.673
0.219 0.901 0.673
0.318 0.219 0.327
0.333 0.667 0.040
0.667 0.333 0.960
0.682 0.781 0.673
0.781 0.099 0.327
0.901 0.682 0.327
```

V (Å³ per cell): 189
Space group: P-3, No. 147
Formation energy (no corrections) (kJ per mole of atoms): -101.93



# 21
Computed, not measured: a relaxed La2Pm12Dy5 crystal at the PBE-GGA level of DFT.

```
La2Pm12Dy5
1.0
7.985 -4.694 0.000
7.985 4.694 0.000
-0.162 0.000 8.753
La Pm Dy
2 12 5
Direct
0.176 0.824 0.000
0.824 0.176 0.000
0.064 0.064 0.337
0.067 0.681 0.338
0.166 0.525 0.761
0.319 0.933 0.662
0.412 0.412 0.119
0.475 0.834 0.239
0.525 0.166 0.761
0.588 0.588 0.881
0.681 0.067 0.338
0.834 0.475 0.239
0.933 0.319 0.662
0.936 0.936 0.663
0.201 0.201 0.020
0.270 0.270 0.429
0.500 0.500 0.500
0.730 0.730 0.571
0.799 0.799 0.980
```

V (Å³ per cell): 656
Space group: C2/m, No. 12
Formation energy from the elements (eV/f.u.): 2.51
Energy above the lowest structure with this stoichiometry (meV/atom): 10



# 22
Computed, not measured: a relaxed CaAc2Th crystal at the PBE-GGA level of DFT.

```
CaAc2Th
1.0
1.857 1.072 13.690
-1.857 1.072 13.690
0.000 -2.145 13.690
Ca Ac Th
1 2 1
Direct
0.000 0.000 0.000
0.414 0.414 0.414
0.586 0.586 0.586
0.500 0.500 0.500
```

V (Å³ per cell): 164
Space group: R-3m, No. 166
Formation energy from the elements (eV/f.u.): 1.27
Energy above the lowest structure with this stoichiometry (meV/atom): 244



# 23
Computed, not measured: a relaxed TlBr2O crystal at the PBE-GGA level of DFT.

```
TlBr2O
1.0
2.421 1.398 7.245
-2.421 1.398 7.245
0.000 -2.795 7.245
Tl Br O
1 2 1
Direct
0.000 0.000 0.000
0.405 0.405 0.405
0.595 0.595 0.595
0.500 0.500 0.500
```

V (Å³ per cell): 147
Space group: R-3m, No. 166
Formation energy (no corrections) (kJ per mole of atoms): 5.23
Energy above the lowest structure with this stoichiometry (meV/atom): 21



# 24
Computed, not measured: a relaxed Ac2Te2Se crystal at the PBE-GGA level of DFT.

```
Ac2Te2Se
1.0
6.669 0.000 0.000
0.000 5.036 0.000
-3.123 0.000 12.280
Ac Te Se
4 4 2
Direct
0.097 0.250 0.154
0.296 0.250 0.601
0.704 0.750 0.399
0.903 0.750 0.846
0.205 0.750 0.401
0.352 0.750 0.763
0.648 0.250 0.237
0.795 0.250 0.599
0.220 0.750 0.062
0.780 0.250 0.938
```

V (Å³ per cell): 412
Space group: P2_1/m, No. 11
Formation energy (no corrections) (kJ per mole of atoms): -156.10
Energy above the lowest structure with this stoichiometry (meV/atom): 96



# 25
Computed, not measured: a relaxed Ho8Sn5Sb crystal at the PBE-GGA level of DFT.

```
Ho8Sn5Sb
1.0
-4.615 4.615 4.617
4.615 -4.615 4.617
4.615 4.615 -4.617
Ho Sn Sb
8 5 1
Direct
0.018 0.125 0.750
0.234 0.483 0.607
0.373 0.766 0.249
0.375 0.268 0.250
0.517 0.124 0.751
0.732 0.982 0.106
0.875 0.625 0.894
0.876 0.627 0.393
0.126 0.001 0.375
0.250 0.874 0.876
0.500 0.500 0.000
0.626 0.750 0.625
0.999 0.374 0.124
0.750 0.250 0.500
```

V (Å³ per cell): 393
Space group: I-4, No. 82
Formation energy (no corrections) (kJ per mole of atoms): -73.36